Record 1
Material: TcHgRuO6
Method: DFT, PBE
State: optimized geometry

Lattice parameters (Å, degrees): 5.2949 9.1744 4.8865 90.00 90.09 90.00
Space group C2 (No. 5)
Symmetry-distinct sites (fractional):
Tc 0.0000 0.0000 0.0000 x2
Hg 0.0000 0.3333 0.5000 x2
Ru 0.0000 0.6666 0.0000 x2
O 0.1213 0.8359 0.2147 x4
O 0.1859 0.1425 0.2147 x4
O 0.1939 0.5216 0.2146 x4

=====

Record 2
Material: TiHgRu2O
Method: DFT, PBE
State: optimized geometry

Lattice parameters (Å, degrees): 5.0796 5.0796 3.9751 90.00 90.00 90.00
Space group P4/mmm (No. 123)
Symmetry-distinct sites (fractional):
Ti 0.0000 0.0000 0.0000 x1
Hg 0.5000 0.5000 0.5000 x1
Ru 0.0000 0.5000 0.5000 x2
O 0.5000 0.5000 0.0000 x1

=====

Record 3
Material: TiHgRuO6
Method: DFT, PBE
State: optimized geometry

Lattice parameters (Å, degrees): 5.1817 5.1817 4.9003 90.00 90.00 120.00
Space group P312 (No. 149)
Symmetry-distinct sites (fractional):
Ti 0.0000 0.0000 0.0000 x1
Hg 0.6667 0.3333 0.5000 x1
Ru 0.3333 0.6667 0.0000 x1
O 0.0428 0.3376 0.2191 x6

=====

| no. | total moment (μB per cell) | raw formation energy (eV/f.u.) |
| --- | --- | --- |
| 1 | 2.5 | -8.0 |
| 2 | 2.3 | 8.2 |
| 3 | 1.6 | -12.0 |